The following is a PBE calculation of a geometry-optimized CaLa2AgH structure, from Alexandria via LeMat-Bulk.

Its final energy is -3.26 eV/atom. The value obtained for the total magnetization is 0.0 μB per formula unit.

```
data_CaLa2AgH
_space_group_name_H-M_alt 'P 4/m m m'
_space_group_IT_number 123
_space_group_name_Hall '-P 4 2'
_cell_length_a 6.3244
_cell_length_b 6.3244
_cell_length_c 3.7086
_cell_angle_alpha 90.00
_cell_angle_beta 90.00
_cell_angle_gamma 90.00
loop_
_atom_site_label
_atom_site_type_symbol
_atom_site_fract_x
_atom_site_fract_y
_atom_site_fract_z
_atom_site_occupancy
Ca1 Ca 0.0000 0.0000 0.0000 1
La1 La 0.0000 0.5000 0.5000 1
Ag1 Ag 0.5000 0.5000 0.5000 1
H1 H 0.5000 0.5000 0.0000 1
```